# SrMg2Cd9 | Alexandria | GGA-PBE | relaxed
# Relative energy among the computed polymorphs in meV per atom: 78.9
# Calculated formation energy in eV/atom: -0.09
# M_tot in μB per cell: 0.00
data_SrMg2Cd9
_chemical_formula_sum 'Sr1 Mg2 Cd9'
_cell_length_a 9.9613
_cell_length_b 9.9613
_cell_length_c 3.3631
_cell_angle_alpha 90.00
_cell_angle_beta 90.00
_cell_angle_gamma 120.00
_space_group_name_H-M_alt 'P 6/m m m'
_space_group_IT_number 191
_space_group_name_Hall '-P 6 2'
loop_
_atom_site_label
_atom_site_type_symbol
_atom_site_fract_x
_atom_site_fract_y
_atom_site_fract_z
Sr1 Sr 0.0000 0.0000 0.0000
Mg1 Mg 0.3333 0.6667 0.0000
Cd1 Cd 0.0000 0.5000 0.0000
Cd2 Cd 0.1797 0.3595 0.5000

---

# SrMg5Cd6 | Alexandria | GGA-PBE | relaxed
# Calculated formation energy in eV/atom: -0.12
# M_tot in μB per cell: 0.00
data_SrMg5Cd6
_chemical_formula_sum 'Sr2 Mg10 Cd12'
_cell_length_a 4.9337
_cell_length_b 14.5859
_cell_length_c 7.8963
_cell_angle_alpha 90.00
_cell_angle_beta 90.00
_cell_angle_gamma 90.00
_space_group_name_H-M_alt 'C m m m'
_space_group_IT_number 65
_space_group_name_Hall '-C 2 2'
loop_
_atom_site_label
_atom_site_type_symbol
_atom_site_fract_x
_atom_site_fract_y
_atom_site_fract_z
Sr1 Sr 0.0000 0.0000 0.0000
Mg1 Mg 0.0000 0.0000 0.5000
Mg2 Mg 0.0000 0.3254 0.0000
Mg3 Mg 0.0000 0.3354 0.5000
Cd1 Cd 0.0000 0.1727 0.2680
Cd2 Cd 0.0000 0.5000 0.2724

---

Number 1: Fermi-level density of states 0.221 states/eV per atom. Number 2: Fermi-level density of states 0.358 states/eV per atom.